[1]
CdB2Pt3 | PBE | relaxed

Summary:
Energy of formation from the pure elements   -0.166 eV/atom
Total energy   -5.5644 eV/atom

Cell: 10.863 6.469 5.601 Å, 90.00 109.27 90.00°
Space group C2/c (No. 15)
Inequivalent atoms, fractional coordinates:
Cd1 0.000 0.041 0.250 (multiplicity 4)
B1 0.140 0.363 0.089 (multiplicity 8)
Pt1 0.000 0.494 0.250 (multiplicity 4)
Pt2 0.234 0.072 0.128 (multiplicity 8)



[2]
Cd3B2Pt9 | PBE | relaxed

Summary:
Energy of formation from the pure elements   -0.331 eV/atom
Total energy   -5.3645 eV/atom

Cell: 5.8450 5.8450 14.6955 Å, 90.00 90.00 120.00°
Space group P6_3/mmc (No. 194)
Inequivalent atoms, fractional coordinates:
Cd1 0.0000 0.0000 0.2500 (multiplicity 2)
Cd2 0.3333 0.6667 0.0823 (multiplicity 4)
B1 0.3333 0.6667 0.6591 (multiplicity 4)
Pt1 0.0056 0.5028 0.2500 (multiplicity 6)
Pt2 0.1614 0.3228 0.5795 (multiplicity 12)



[3]
CdB2Pt2 | PBE | relaxed

Summary:
Energy of formation from the pure elements   0.470 eV/atom
Total energy   -4.8004 eV/atom

Cell: 6.854 6.854 2.881 Å, 90.00 90.00 90.00°
Space group P4/mbm (No. 127)
Inequivalent atoms, fractional coordinates:
Cd1 0.000 0.000 0.000 (multiplicity 2)
B1 0.120 0.380 0.500 (multiplicity 4)
Pt1 0.141 0.641 0.000 (multiplicity 4)



[4]
CdBPt2 | PBE | relaxed

Summary:
Energy of formation from the pure elements   0.557 eV/atom
Total energy   -4.3614 eV/atom

Cell: 6.188 6.188 6.188 Å, 90.00 90.00 90.00°
Space group Fm-3m (No. 225)
Inequivalent atoms, fractional coordinates:
Cd1 0.000 0.000 0.000 (multiplicity 4)
B1 0.000 0.000 0.500 (multiplicity 4)
Pt1 0.250 0.250 0.250 (multiplicity 8)